## BaIn2Re (PBE)

Data for a relaxed BaIn2Re crystal.

Unit cell a=5.4547 b=5.4547 c=5.4547 alpha=127.22 beta=127.22 gamma=77.89
Last column: nearest neighbours and their distance in Å.
Fractional positions:
Re (0.2500, 0.7500, 0.5000)  8 In 3.22, 4 Ba 3.43
In (0.5000, 0.5000, 0.0000)  4 Re 3.22, 4 Ba 3.22, 4 In 3.43
Ba (0.7500, 0.2500, 0.5000)  8 In 3.22, 4 Re 3.43
In (0.0000, 0.0000, 0.0000)  4 Ba 3.22, 4 Re 3.22, 4 In 3.43

Results
* DOS(E_F): 4.074 states/eV per cell
* magnetic moment: 0.68 μB/cell
* space group: I4/mmm, No. 139
* E_form: 694 meV per atom